80
Lattice="-7.852 7.852 7.852 7.852 -7.852 7.852 7.852 7.852 -7.852" Properties=species:S:1:pos:R:3 comment="Tb12Tl3H5 | the Alexandria database | PBE | optimized geometry" spacegroup="No. 230" pbc="T T T"
Tb 2.361 -0.667 0.852
Tb 9.417 4.778 -4.593
Tb 7.185 -0.852 2.361
Tb 12.445 -1.565 3.074
Tb 10.213 0.667 0.852
Tb 9.417 -3.074 4.593
Tb 0.852 2.361 -0.667
Tb 10.926 3.259 -1.565
Tb 4.778 4.593 -1.565
Tb 7.000 2.361 0.667
Tb -0.667 0.852 2.361
Tb 4.593 -1.565 4.778
Tb 7.185 7.000 -2.361
Tb 4.593 1.565 3.074
Tb 7.000 -2.361 7.185
Tb 4.778 -4.593 9.417
Tb 3.074 4.593 1.565
Tb 8.704 5.491 0.667
Tb 2.361 7.185 -0.852
Tb 9.417 3.074 3.259
Tb 4.593 9.417 -3.074
Tb 7.185 0.852 5.491
Tb 1.565 3.074 4.593
Tb 2.361 0.667 7.000
Tb 5.491 7.185 0.852
Tb 6.287 4.778 3.259
Tb 0.667 7.000 2.361
Tb 3.259 -1.565 10.926
Tb -1.565 4.778 4.593
Tb 5.491 0.667 8.704
Tb -0.852 2.361 7.185
Tb 4.778 3.259 6.287
Tb 3.074 12.445 -1.565
Tb 0.852 10.213 0.667
Tb 3.259 6.287 4.778
Tb 0.667 0.852 10.213
Tb 3.259 9.417 3.074
Tb 8.519 7.000 5.491
Tb 0.852 5.491 7.185
Tb 3.074 3.259 9.417
Tb -3.074 4.593 9.417
Tb 7.000 5.491 8.519
Tb -1.565 10.926 3.259
Tb -2.361 7.185 7.000
Tb -4.593 9.417 4.778
Tb 0.667 8.704 5.491
Tb -1.565 3.074 12.445
Tb 5.491 8.519 7.000
Tl 3.926 1.963 0.000
Tl 7.852 3.926 -1.963
Tl 1.963 0.000 3.926
Tl 9.815 0.000 3.926
Tl 0.000 3.926 1.963
Tl 3.926 -1.963 7.852
Tl 3.926 9.815 0.000
Tl 7.852 3.926 5.889
Tl -1.963 7.852 3.926
Tl 5.889 7.852 3.926
Tl 0.000 3.926 9.815
Tl 3.926 5.889 7.852
H 0.000 0.000 0.000
H 3.926 3.926 -3.926
H 3.926 -3.926 3.926
H 7.852 0.000 0.000
H 11.778 1.963 0.000
H 7.852 -3.926 5.889
H 5.889 7.852 -3.926
H 5.889 0.000 3.926
H 3.926 5.889 0.000
H 7.852 3.926 1.963
H -3.926 3.926 3.926
H 0.000 7.852 0.000
H 0.000 0.000 7.852
H 3.926 3.926 3.926
H 0.000 3.926 5.889
H 3.926 1.963 7.852
H 1.963 7.852 3.926
H 1.963 0.000 11.778
H 0.000 11.778 1.963
H -3.926 5.889 7.852

12
Lattice="7.059 -3.157 0.000 7.059 3.157 0.000 -0.957 0.000 6.775" Properties=species:S:1:pos:R:3 comment="Tb3Tl2H | the Alexandria database | PBE | optimized geometry" spacegroup="No. 15" pbc="T T T"
Tb 6.342 2.617 5.081
Tb 5.010 0.531 2.416
Tb 4.532 -0.531 5.804
Tb 8.631 0.531 0.972
Tb 8.153 -0.531 4.359
Tb 6.820 -2.617 1.694
Tl 2.584 0.374 0.276
Tl 2.106 -0.374 3.663
Tl 11.056 0.374 3.112
Tl 10.578 -0.374 6.500
H 6.342 0.464 5.081
H 6.820 -0.464 1.694

7
Lattice="5.238 -2.326 0.000 5.238 2.326 0.000 -1.994 0.000 6.245" Properties=species:S:1:pos:R:3 comment="Tb3Tl2H2 | the Alexandria database | PBE | optimized geometry" spacegroup="No. 12" de_polymorph_mev_per_atom=202 pbc="T T T"
Tb 0.000 0.000 0.000
Tb 2.241 0.000 4.055
Tb 6.241 0.000 2.190
Tl 3.211 0.000 0.971
Tl 5.271 0.000 5.275
H 0.536 0.000 2.374
H 7.946 0.000 3.871

20
Lattice="5.798 -8.458 0.000 5.798 8.458 0.000 0.000 0.000 5.374" Properties=species:S:1:pos:R:3 comment="Tb6Tl3H | the Alexandria database | PBE | optimized geometry" spacegroup="No. 36" pbc="T T T"
Tb 5.798 7.015 2.687
Tb 3.740 3.833 2.698
Tb 5.798 4.407 0.072
Tb 3.822 1.365 5.371
Tb 3.822 -1.365 2.684
Tb 7.856 3.833 2.698
Tb 3.740 -3.833 0.011
Tb 7.775 1.365 5.371
Tb 7.775 -1.365 2.684
Tb 5.798 -4.407 2.759
Tb 7.856 -3.833 0.011
Tb 5.798 -7.015 0.000
Tl 1.819 1.327 2.681
Tl 1.819 -1.327 5.368
Tl 5.798 1.389 2.682
Tl 5.798 -1.389 5.369
Tl 9.777 1.327 2.681
Tl 9.777 -1.327 5.368
H 5.798 4.787 2.385
H 5.798 -4.787 5.072

5
Lattice="-1.928 1.928 5.972 1.928 -1.928 5.972 1.928 1.928 -5.972" Properties=species:S:1:pos:R:3 comment="Tb2TlH2 | the Alexandria database | PBE | optimized geometry" spacegroup="No. 139" de_polymorph_mev_per_atom=0 pbc="T T T"
Tb 0.000 0.000 1.820
Tb 0.000 0.000 10.124
Tl 0.000 0.000 5.972
H 1.928 0.000 2.986
H 0.000 1.928 2.986

11
Lattice="-2.352 2.352 12.124 2.352 -2.352 12.124 2.352 2.352 -12.124" Properties=species:S:1:pos:R:3 comment="Tb2Tm4Tl3H2 | the Alexandria database | PBE | optimized geometry" spacegroup="No. 139" pbc="T T T"
Tb 0.000 0.000 4.760
Tb 0.000 0.000 19.488
Tm 2.352 0.000 2.023
Tm 2.352 0.000 10.101
Tm 0.000 2.352 2.023
Tm 0.000 2.352 10.101
Tl 0.000 0.000 7.926
Tl 0.000 0.000 12.124
Tl 0.000 0.000 16.322
H 0.000 0.000 2.417
H 0.000 0.000 21.831

11
Lattice="-2.376 2.376 12.308 2.376 -2.376 12.308 2.376 2.376 -12.308" Properties=species:S:1:pos:R:3 comment="Tb4Y2Tl3H2 | the Alexandria database | PBE | optimized geometry" spacegroup="No. 139" pbc="T T T"
Tb 2.376 0.000 2.084
Tb 2.376 0.000 10.224
Tb 0.000 2.376 2.084
Tb 0.000 2.376 10.224
Y 0.000 0.000 4.877
Y 0.000 0.000 19.739
Tl 0.000 0.000 8.017
Tl 0.000 0.000 12.308
Tl 0.000 0.000 16.599
H 0.000 0.000 2.536
H 0.000 0.000 22.080

4
Lattice="3.317 0.000 0.000 0.000 3.317 0.000 0.000 0.000 8.377" Properties=species:S:1:pos:R:3 comment="TbTm2H | the Alexandria database | PBE | optimized geometry" spacegroup="No. 123" de_polymorph_mev_per_atom=326 pbc="T T T"
Tb 0.000 0.000 0.000
Tm 1.658 1.658 2.578
Tm 1.658 1.658 5.799
H 0.000 0.000 4.189

4
Lattice="3.344 0.000 0.000 0.000 3.344 0.000 0.000 0.000 8.402" Properties=species:S:1:pos:R:3 comment="Tb2TmH | the Alexandria database | PBE | optimized geometry" spacegroup="No. 123" de_polymorph_mev_per_atom=282 pbc="T T T"
Tb 0.000 0.000 1.623
Tb 0.000 0.000 6.779
Tm 1.672 1.672 4.201
H 1.672 1.672 0.000

5
Lattice="4.926 0.000 0.000 0.000 4.926 0.000 0.000 0.000 4.926" Properties=species:S:1:pos:R:3 comment="TbTm3H | the Alexandria database | PBE | optimized geometry" spacegroup="No. 221" pbc="T T T"
Tb 0.000 0.000 0.000
Tm 0.000 2.463 2.463
Tm 2.463 0.000 2.463
Tm 2.463 2.463 0.000
H 2.463 2.463 2.463

80
Lattice="-6.460 6.460 6.460 6.460 -6.460 6.460 6.460 6.460 -6.460" Properties=species:S:1:pos:R:3 comment="Tb3Tm5H12 | the Alexandria database | PBE | optimized geometry" spacegroup="No. 230" pbc="T T T"
Tb 3.230 1.615 0.000
Tb 6.460 3.230 -1.615
Tb 1.615 0.000 3.230
Tb 8.076 0.000 3.230
Tb 0.000 3.230 1.615
Tb 3.230 -1.615 6.460
Tb 3.230 8.076 0.000
Tb 6.460 3.230 4.845
Tb -1.615 6.460 3.230
Tb 4.845 6.460 3.230
Tb 0.000 3.230 8.076
Tb 3.230 4.845 6.460
Tm 0.000 0.000 0.000
Tm 3.230 3.230 -3.230
Tm 3.230 -3.230 3.230
Tm 6.460 0.000 0.000
Tm 9.691 1.615 0.000
Tm 6.460 -3.230 4.845
Tm 4.845 6.460 -3.230
Tm 4.845 0.000 3.230
Tm 3.230 4.845 0.000
Tm 6.460 3.230 1.615
Tm -3.230 3.230 3.230
Tm 0.000 6.460 0.000
Tm 0.000 0.000 6.460
Tm 3.230 3.230 3.230
Tm 0.000 3.230 4.845
Tm 3.230 1.615 6.460
Tm 1.615 6.460 3.230
Tm 1.615 0.000 9.691
Tm 0.000 9.691 1.615
Tm -3.230 4.845 6.460
H 2.001 -0.049 0.859
H 7.690 4.089 -3.279
H 8.461 0.049 0.859
H 7.690 -2.372 3.279
H 6.412 -0.859 2.001
H 9.739 -1.230 2.372
H 0.859 2.001 -0.049
H 8.832 3.182 -1.230
H 4.089 3.279 -1.230
H 5.602 2.001 0.049
H -0.049 0.859 2.001
H 3.279 -1.230 4.089
H 6.412 5.602 -2.001
H 3.279 1.230 2.372
H 4.089 -3.279 7.690
H 5.602 -2.001 6.412
H 2.372 3.279 1.230
H 7.319 4.460 0.049
H 3.279 7.690 -2.372
H 6.412 0.859 4.460
H 2.001 6.412 -0.859
H 7.690 2.372 3.182
H 1.230 2.372 3.279
H 2.001 0.049 5.602
H 4.460 6.412 0.859
H 5.231 4.089 3.182
H -1.230 4.089 3.279
H 4.460 0.049 7.319
H 0.049 5.602 2.001
H 3.182 -1.230 8.832
H -0.859 2.001 6.412
H 4.089 3.182 5.231
H 0.859 8.461 0.049
H 2.372 9.739 -1.230
H 3.182 5.231 4.089
H 0.049 0.859 8.461
H 3.182 7.690 2.372
H 6.509 5.602 4.460
H 0.859 4.460 6.412
H 2.372 3.182 7.690
H -2.372 3.279 7.690
H 5.602 4.460 6.509
H -3.279 7.690 4.089
H 0.049 7.319 4.460
H -1.230 8.832 3.182
H -2.001 6.412 5.602
H -1.230 2.372 9.739
H 4.460 6.509 5.602

4
Lattice="1.774 1.024 8.383 -1.774 1.024 8.383 0.000 -2.049 8.383" Properties=species:S:1:pos:R:3 comment="TbTm2H | the Alexandria database | PBE | optimized geometry" spacegroup="No. 166" de_polymorph_mev_per_atom=0 pbc="T T T"
Tb 0.000 0.000 0.000
Tm 0.000 0.000 5.540
Tm 0.000 0.000 19.609
H 0.000 0.000 12.575

| no. | raw total energy (eV for the cell shown) |
| --- | --- |
| 1 | -334.7 |
| 2 | -47.2 |
| 3 | -27.1 |
| 4 | -82.6 |
| 5 | -21.3 |
| 6 | -44.0 |
| 7 | -48.5 |
| 8 | -16.4 |
| 9 | -16.7 |
| 10 | -22.2 |
| 11 | -343.5 |
| 12 | -17.7 |